A plane-wave DFT calculation with PBE was carried out for an optimized crystal structure of ZrHgW.

The structure in extended XYZ format:
```
3
Lattice="-1.444 1.444 6.994 1.444 -1.444 6.994 1.444 1.444 -6.994" Properties=species:S:1:pos:R:3 pbc="T T T"
Zr 0.000 0.000 0.000
Hg 0.000 0.000 9.435
W 0.000 0.000 4.711
```

Summary:
As for the formation enthalpy at 0 K: 337 meV per atom. The calculated volume is 58 Å³ per cell. Its energy above the most stable polymorph in this dataset is 37 meV/atom. As for the crystal system: tetragonal. As for the raw total energy: -6.931 eV per atom. The space-group type is I4mm (107).